Version P
Compound: CrFe3Ni
Source: Alexandria via LeMat-Bulk
Functional: PBE-GGA
Structure: optimized geometry

It has space group Pm-3m (No. 221), with a = 4.2482 Å, b = 4.2482 Å, c = 4.2482 Å, α = 90.00°, β = 90.00° and γ = 90.00°. The distinct sites, in fractional coordinates, are Cr at (0.0000, 0.0000, 0.0000), Fe at (0.0000, 0.5000, 0.5000) and Ni at (0.5000, 0.5000, 0.5000).

The crystal system is cubic. As for the total moment: 9.6 μB per cell. The density of states at the Fermi level comes out at 13.22 states/eV/f.u.


Version Q
Compound: CrFe3Ni
Source: Alexandria via LeMat-Bulk
Functional: PBE-GGA
Structure: optimized geometry

It has space group Pnma (No. 62), with a = 7.7324 Å, b = 4.7133 Å, c = 6.4080 Å, α = 90.00°, β = 90.00° and γ = 90.00°. The distinct sites, in fractional coordinates, are Cr at (0.1645, 0.2500, 0.2303), Fe at (0.0791, 0.0114, 0.8428), Fe at (0.0969, 0.7500, 0.4646) and Ni at (0.2410, 0.7500, 0.0975).

The crystal system is orthorhombic. As for the total moment: 20.8 μB per cell. The density of states at the Fermi level comes out at 4.92 states/eV/f.u.


Consider the structures shown above. The least stable of them is version P.